(1)
Computed, not measured: a geometry-optimized PrInAgPb structure at the GGA-PBE level of DFT.

Calculated values
energy relative to the lowest polymorph listed for this composition: 148.3 meV/atom

Cell lengths 7.549, 7.549, 7.549 Å; angles 90.00, 90.00, 90.00 degrees
Space group F-43m (No. 216)
Symmetry-distinct sites (fractional):
Pr: 0.000 0.000 0.000 (multiplicity 4)
In: 0.250 0.250 0.250 (multiplicity 4)
Ag: 0.250 0.250 0.750 (multiplicity 4)
Pb: 0.000 0.000 0.500 (multiplicity 4)

=====

(2)
Computed, not measured: a geometry-optimized SmY2Co2 structure at the GGA-PBE level of DFT.

Calculated values
energy relative to the lowest polymorph listed for this composition: 0.0 meV/atom

Cell lengths 3.922, 14.515, 4.075 Å; angles 90.00, 90.00, 90.00 degrees
Space group Cmmm (No. 65)
Symmetry-distinct sites (fractional):
Sm: 0.000 0.000 0.000 (multiplicity 2)
Y: 0.000 0.350 0.500 (multiplicity 4)
Co: 0.000 0.210 0.000 (multiplicity 4)

=====

(3)
Computed, not measured: a geometry-optimized BaMn structure at the GGA-PBE level of DFT.

Cell lengths 11.927, 11.927, 4.684 Å; angles 90.00, 90.00, 90.00 degrees
Space group I4/mmm (No. 139)
Symmetry-distinct sites (fractional):
Ba: 0.000 0.264 0.000 (multiplicity 8)
Mn: 0.215 0.215 0.500 (multiplicity 8)

=====

Results for spin magnetization: 0.0; 1.9; 29.0 (in μB/cell, following the order of the records).
Results for VASP energy: -3.720; -6.489; -4.856 (in eV per atom, following the order of the records).